# 1
Th2Mg3In4 | GGA-PBE | optimized geometry

Summary:
- Symmetry: Cmce, No. 64
- Formation energy: -215 meV/atom

Cell: 6.4273 8.4624 9.0394 Å, 90.00 110.83 90.00°
Closest atoms and distances in Å follow each position.
Element x y z (fractional)
Th 0.6025 0.8999 0.2051  7 In 3.40-3.50, 5 Mg 3.48-3.80
Th 0.1025 0.6001 0.2051  7 In 3.40-3.50, 5 Mg 3.48-3.80
Th 0.3975 0.1001 0.7949  7 In 3.40-3.50, 5 Mg 3.48-3.80
Th 0.8975 0.3999 0.7949  7 In 3.40-3.50, 5 Mg 3.48-3.80
In 0.8251 0.0255 0.6503  5 Mg 2.96-2.99
In 0.6914 0.7500 0.8828  3 Mg 2.84-2.91
In 0.1749 0.9745 0.3497  5 Mg 2.96-2.99
In 0.3086 0.2500 0.1172  3 Mg 2.84-2.91
In 0.1914 0.7500 0.8828  3 Mg 2.84-2.91
In 0.3251 0.4745 0.6503  5 Mg 2.96-2.99
In 0.8086 0.2500 0.1172  3 Mg 2.84-2.91
In 0.6749 0.5255 0.3497  5 Mg 2.96-2.99
Mg 0.0000 0.0000 0.0000  6 In 2.84-2.96
Mg 0.5000 0.5000 0.0000  6 In 2.84-2.96
Mg 0.9808 0.2500 0.4616  5 In 2.91-2.99, 2 Mg 3.21
Mg 0.4808 0.2500 0.4616  5 In 2.91-2.99, 2 Mg 3.21
Mg 0.5192 0.7500 0.5384  5 In 2.91-2.99, 2 Mg 3.21
Mg 0.0192 0.7500 0.5384  5 In 2.91-2.99, 2 Mg 3.21

---

# 2
Ca3Ac2TlTe6 | GGA-PBE | optimized geometry

Summary:
- Symmetry: C2/m, No. 12
- Uncorrected formation energy: -1422 meV per atom

Cell: 4.6281 9.4048 10.4009 Å, 103.10 102.86 90.00°
Closest atoms and distances in Å follow each position.
Element x y z (fractional)
Te 0.6653 0.5917 0.3306  3 Ca 3.26, 3 Ac 3.37-3.38
Te 0.0024 0.7326 0.0048  3 Ca 3.17-3.18, 1 Ac 3.28, 2 Tl 3.43
Te 0.3261 0.9217 0.6522  3 Ca 3.22-3.23, 2 Ac 3.35, 1 Tl 3.43
Te 0.9976 0.2674 0.9952  3 Ca 3.17-3.18, 1 Ac 3.28, 2 Tl 3.43
Te 0.3347 0.4083 0.6694  3 Ca 3.26, 3 Ac 3.37-3.38
Te 0.6739 0.0783 0.3478  3 Ca 3.22-3.23, 2 Ac 3.35, 1 Tl 3.43
Tl 0.5000 0.0000 0.0000  6 Te 3.43
Ac 0.1637 0.3293 0.3275  6 Te 3.28-3.38
Ac 0.8363 0.6707 0.6725  6 Te 3.28-3.38
Ca 0.8370 0.1660 0.6741  6 Te 3.17-3.26
Ca 0.1630 0.8340 0.3259  6 Te 3.17-3.26
Ca 0.5000 0.5000 0.0000  6 Te 3.18-3.26

---

# 3
Ca2ScPt | GGA-PBE | optimized geometry

Summary:
- Symmetry: P4/mmm, No. 123
- Relative energy among the computed polymorphs: 0.2859 eV per atom
- Formation energy: -268 meV/atom

Cell: 4.4401 4.4401 4.8934 Å, 90.00 90.00 90.00°
Closest atoms and distances in Å follow each position.
Element x y z (fractional)
Ca 0.0000 0.0000 0.0000  4 Ca 3.14, 4 Sc 3.30, 4 Pt 3.30
Ca 0.5000 0.5000 0.0000  4 Ca 3.14, 4 Sc 3.30, 4 Pt 3.30
Sc 0.0000 0.5000 0.5000  4 Pt 3.14, 8 Ca 3.30
Pt 0.5000 0.0000 0.5000  4 Sc 3.14, 8 Ca 3.30

---

# 4
MnCrSbI2 | GGA-PBE | optimized geometry

Summary:
- Symmetry: P4/mmm, No. 123
- Relative energy among the computed polymorphs: 0.0000 eV per atom
- Uncorrected formation energy: 581 meV per atom

Cell: 5.4981 5.4981 5.3546 Å, 90.00 90.00 90.00°
Closest atoms and distances in Å follow each position.
Element x y z (fractional)
Sb 0.0000 0.0000 0.5000  2 Cr 2.68
I 0.0000 0.5000 0.0000  2 Cr 2.75
I 0.5000 0.0000 0.0000  2 Cr 2.75
Cr 0.0000 0.0000 0.0000  2 Sb 2.68, 4 I 2.75
Mn 0.5000 0.5000 0.5000  8 I 3.84, 4 Sb 3.89